No. 1
# DySb3Se6 (PBE, optimized geometry)
# * formation energy from raw total energies: -0.662 eV per atom
data_DySb3Se6
_chemical_formula_sum 'Dy2 Sb6 Se12'
_cell_length_a 12.086
_cell_length_b 4.017
_cell_length_c 12.334
_cell_angle_alpha 90.00
_cell_angle_beta 105.02
_cell_angle_gamma 90.00
_symmetry_space_group_name_H-M 'P 1 21/m 1'
_symmetry_Int_Tables_number 11
_symmetry_space_group_name_Hall '-P 2yb'
loop_
_atom_site_label
_atom_site_type_symbol
_atom_site_fract_x
_atom_site_fract_y
_atom_site_fract_z
Dy1 Dy 0.187 0.250 0.032
Sb1 Sb 0.033 0.750 0.290
Sb2 Sb 0.338 0.250 0.427
Sb3 Sb 0.401 0.750 0.849
Se1 Se 0.033 0.750 0.898
Se2 Se 0.120 0.250 0.450
Se3 Se 0.223 0.750 0.220
Se4 Se 0.246 0.250 0.802
Se5 Se 0.381 0.750 0.057
Se6 Se 0.397 0.750 0.579


No. 2
# Dy4SbSe2 (PBE, optimized geometry)
# * formation energy from raw total energies: -1.080 eV per atom
# * DOS at the Fermi energy: 0.71 states/eV per atom
# * excess energy over the best structure of this formula in the dataset: 0.236 eV/atom
data_Dy4SbSe2
_chemical_formula_sum 'Dy8 Sb2 Se4'
_cell_length_a 7.836
_cell_length_b 11.770
_cell_length_c 4.172
_cell_angle_alpha 90.00
_cell_angle_beta 90.00
_cell_angle_gamma 90.00
_symmetry_space_group_name_H-M 'C m m m'
_symmetry_Int_Tables_number 65
_symmetry_space_group_name_Hall '-C 2 2'
loop_
_atom_site_label
_atom_site_type_symbol
_atom_site_fract_x
_atom_site_fract_y
_atom_site_fract_z
Dy1 Dy 0.230 0.000 0.000
Dy2 Dy 0.250 0.250 0.500
Sb1 Sb 0.000 0.500 0.500
Se1 Se 0.000 0.187 0.000


No. 3
# DySbSe3 (PBE, optimized geometry)
# * formation energy from raw total energies: -0.937 eV per atom
# * excess energy over the best structure of this formula in the dataset: 0.119 eV/atom
data_DySbSe3
_chemical_formula_sum 'Dy2 Sb2 Se6'
_cell_length_a 6.9632
_cell_length_b 6.9632
_cell_length_c 7.1133
_cell_angle_alpha 90.00
_cell_angle_beta 90.00
_cell_angle_gamma 120.00
_symmetry_space_group_name_H-M 'P -6 c 2'
_symmetry_Int_Tables_number 188
_symmetry_space_group_name_Hall 'P -6c 2'
loop_
_atom_site_label
_atom_site_type_symbol
_atom_site_fract_x
_atom_site_fract_y
_atom_site_fract_z
Dy1 Dy 0.0000 0.0000 0.0000
Sb1 Sb 0.6667 0.3333 0.0000
Se1 Se 0.3307 0.0055 0.2500


No. 4
# Dy3SbSe (PBE, optimized geometry)
# * formation energy from raw total energies: -0.868 eV per atom
# * DOS at the Fermi energy: 0.85 states/eV per atom
# * excess energy over the best structure of this formula in the dataset: 0.284 eV/atom
data_Dy3SbSe
_chemical_formula_sum 'Dy6 Sb2 Se2'
_cell_length_a 7.001
_cell_length_b 4.200
_cell_length_c 10.778
_cell_angle_alpha 90.00
_cell_angle_beta 98.70
_cell_angle_gamma 90.00
_symmetry_space_group_name_H-M 'P 1 21/m 1'
_symmetry_Int_Tables_number 11
_symmetry_space_group_name_Hall '-P 2yb'
loop_
_atom_site_label
_atom_site_type_symbol
_atom_site_fract_x
_atom_site_fract_y
_atom_site_fract_z
Dy1 Dy 0.183 0.250 0.429
Dy2 Dy 0.273 0.750 0.076
Dy3 Dy 0.303 0.750 0.739
Sb1 Sb 0.453 0.750 0.352
Se1 Se 0.028 0.250 0.149


No. 5
# Dy2SbSe5 (PBE, optimized geometry)
# * formation energy from raw total energies: -1.141 eV per atom
# * DOS at the Fermi energy: 0.30 states/eV per atom
data_Dy2SbSe5
_chemical_formula_sum 'Dy8 Sb4 Se20'
_cell_length_a 5.585
_cell_length_b 13.858
_cell_length_c 13.522
_cell_angle_alpha 90.00
_cell_angle_beta 90.00
_cell_angle_gamma 90.00
_symmetry_space_group_name_H-M 'C m c m'
_symmetry_Int_Tables_number 63
_symmetry_space_group_name_Hall '-C 2c 2'
loop_
_atom_site_label
_atom_site_type_symbol
_atom_site_fract_x
_atom_site_fract_y
_atom_site_fract_z
Dy1 Dy 0.000 0.161 0.067
Sb1 Sb 0.000 0.170 0.750
Se1 Se 0.000 0.042 0.603
Se2 Se 0.000 0.273 0.250
Se3 Se 0.000 0.307 0.585


No. 6
# Dy6SbSe5 (PBE, optimized geometry)
# * formation energy from raw total energies: -1.645 eV per atom
# * DOS at the Fermi energy: 0.48 states/eV per atom
data_Dy6SbSe5
_chemical_formula_sum 'Dy12 Sb2 Se10'
_cell_length_a 7.136
_cell_length_b 12.377
_cell_length_c 7.179
_cell_angle_alpha 90.00
_cell_angle_beta 109.38
_cell_angle_gamma 90.00
_symmetry_space_group_name_H-M 'C 1 2/m 1'
_symmetry_Int_Tables_number 12
_symmetry_space_group_name_Hall '-C 2y'
loop_
_atom_site_label
_atom_site_type_symbol
_atom_site_fract_x
_atom_site_fract_y
_atom_site_fract_z
Dy1 Dy 0.241 0.170 0.238
Dy2 Dy 0.244 0.000 0.757
Sb1 Sb 0.000 0.500 0.500
Se1 Se 0.000 0.000 0.000
Se2 Se 0.000 0.168 0.500
Se3 Se 0.000 0.338 0.000